The following is a PBE calculation of SmDySc2In4 after structural relaxation, from Alexandria via LeMat-Bulk.

Computed properties:
DOS at the Fermi energy	13.08	states/eV per cell
formation energy	-9.9	kcal/mol of atoms
spin magnetization	0.0000	μB per atom

Cell lengths 5.2064, 5.2064, 25.5545 Å; angles 90.00, 90.00, 120.00 degrees
Last column: nearest neighbours and their distance in Å.
Space group R-3m (No. 166, hexagonal axes)
Inequivalent atoms, fractional coordinates:
Sm (0.0000, 0.0000, 0.0000) (multiplicity 3)  8 In 3.20-3.22
Dy (0.0000, 0.0000, 0.5000) (multiplicity 3)  8 In 3.17-3.18
Sc (0.0000, 0.0000, 0.2498) (multiplicity 6)  8 In 3.16-3.23
In (0.0000, 0.0000, 0.1259) (multiplicity 6)  4 Sc 3.16-3.20, 3 Dy 3.18, 1 Sm 3.22
In (0.0000, 0.0000, 0.3760) (multiplicity 6)  1 Dy 3.17, 4 Sc 3.18-3.23, 3 Sm 3.20